# EuMgIn2, relaxed, DFT GGA-PBE
# **Energy relative to the lowest polymorph listed for this composition**: 0.000 eV per atom
# **DOS(E_F)**: 0.90 states/eV/f.u.
# **Energy of formation from the pure elements**: -0.35 eV/atom
# **Magnetization**: 1.751 μB/atom
# **DFT total energy**: -75.0 eV/cell
data_EuMgIn2
_chemical_formula_sum 'Eu4 Mg4 In8'
_cell_length_a 7.502
_cell_length_b 7.502
_cell_length_c 7.502
_cell_angle_alpha 90.00
_cell_angle_beta 90.00
_cell_angle_gamma 90.00
_space_group_name_H-M_alt 'F m -3 m'
_space_group_IT_number 225
_space_group_name_Hall '-F 4 2 3'
loop_
_atom_site_label
_atom_site_type_symbol
_atom_site_fract_x
_atom_site_fract_y
_atom_site_fract_z
Eu1 Eu 0.000 0.000 0.000
Mg1 Mg 0.000 0.000 0.500
In1 In 0.250 0.250 0.250